# Ca2RhSeCl PBE relaxed
data_Ca2RhSeCl
_chemical_formula_sum 'Ca2 Rh1 Se1 Cl1'
_cell_length_a 5.431
_cell_length_b 5.431
_cell_length_c 4.448
_cell_angle_alpha 90.00
_cell_angle_beta 90.00
_cell_angle_gamma 90.00
_symmetry_space_group_name_H-M 'P 4/m m m'
_symmetry_Int_Tables_number 123
_symmetry_space_group_name_Hall '-P 4 2'
loop_
_atom_site_label
_atom_site_type_symbol
_atom_site_fract_x
_atom_site_fract_y
_atom_site_fract_z
Ca1 Ca 0.000 0.500 0.000
Rh1 Rh 0.000 0.000 0.000
Se1 Se 0.500 0.500 0.500
Cl1 Cl 0.000 0.000 0.500
# formation energy from raw total energies	-436	kJ/mol of formula units
# final energy	-4.24	eV per atom
# spin magnetization	0.000	μB per atom